Record 1
This record from Alexandria via LeMat-Bulk describes crystalline LiReW2 at its relaxed geometry. The functional is PBE.

The calculation puts the formation energy at 0.46 eV per atom. The energy above the most stable polymorph in this dataset comes out at 216.1 meV per atom. The total magnetization comes out at 0.00 μB per atom.

It has space group I-4m2 (No. 119), with a = 3.807 Å, b = 3.807 Å, c = 8.246 Å, α = 90.00°, β = 90.00° and γ = 90.00°. Symmetry generates all atoms from Li at (0.000, 0.000, 0.000), Re at (0.000, 0.500, 0.750), W at (0.000, 0.000, 0.500) and W at (0.000, 0.500, 0.250).



Record 2
This record from Alexandria via LeMat-Bulk describes crystalline LiRe2W at its relaxed geometry. The functional is PBE.

The calculation puts the formation energy at 0.27 eV per atom. The energy above the most stable polymorph in this dataset comes out at 79.8 meV per atom. The total magnetization comes out at 0.00 μB per atom.

It has space group Imm2 (No. 44), with a = 3.050 Å, b = 4.384 Å, c = 8.791 Å, α = 90.00°, β = 90.00° and γ = 90.00°. Symmetry generates all atoms from Li at (0.000, 0.000, 0.000), Re at (0.000, 0.000, 0.495), Re at (0.000, 0.500, 0.756) and W at (0.000, 0.500, 0.238).



Record 3
This record from Alexandria via LeMat-Bulk describes crystalline LiRe2W at its relaxed geometry. The functional is PBE.

The calculation puts the formation energy at 0.31 eV per atom. The energy above the most stable polymorph in this dataset comes out at 124.3 meV per atom. The total magnetization comes out at 0.00 μB per atom.

It has space group P4/mmm (No. 123), with a = 3.183 Å, b = 3.183 Å, c = 5.642 Å, α = 90.00°, β = 90.00° and γ = 90.00°. Symmetry generates all atoms from Li at (0.000, 0.000, 0.000), Re at (0.500, 0.500, 0.230) and W at (0.000, 0.000, 0.500).



Record 4
This record from Alexandria via LeMat-Bulk describes crystalline Li3ReW at its relaxed geometry. The functional is PBE.

The calculation puts the formation energy at 2.18 eV per atom. The energy above the most stable polymorph in this dataset comes out at 0.0 meV per atom. The total magnetization comes out at 0.00 μB per atom.

It has space group Pm-3m (No. 221), with a = 4.269 Å, b = 4.269 Å, c = 4.269 Å, α = 90.00°, β = 90.00° and γ = 90.00°. Symmetry generates all atoms from Li at (0.000, 0.000, 0.500), Re at (0.000, 0.000, 0.000) and W at (0.500, 0.500, 0.500).



no.,density (g/cm³),uncorrected energy (eV/atom)
1,15.59,-9.608
2,15.91,-9.671
3,16.36,-9.626
4,8.34,-4.046